--- 1 ---
Compound: Ba3LiZn
Source: the Alexandria database
Functional: GGA-PBE
Structure: optimized geometry

The structure belongs to space group Pm-3m (No. 221); the cell edges are 6.508, 6.508 and 6.508 Å and the angles 90.00°, 90.00° and 90.00°. The inequivalent atoms are Ba at (0.000, 0.000, 0.500), Li at (0.500, 0.500, 0.500) and Zn at (0.000, 0.000, 0.000).

=====

--- 2 ---
Compound: Ba3LiZn
Source: the Alexandria database
Functional: GGA-PBE
Structure: optimized geometry

The structure belongs to space group P2_1/m (No. 11); the cell edges are 4.496, 10.128 and 9.956 Å and the angles 90.00°, 90.08° and 90.00°. The inequivalent atoms are Ba at (0.248, 0.250, 0.489), Ba at (0.251, 0.546, 0.178), Li at (0.250, 0.750, 0.841) and Zn at (0.249, 0.250, 0.992).

=====

Least stable structure among those shown: 1.